This record from Alexandria via LeMat-Bulk describes a relaxed Ho2Zn3Co2 crystal. The functional is GGA-PBE.

abc: 4.1481 5.2363 6.2979
angles: 102.70 90.00 113.33
Last column: magnetic moment on the atom in μB.
Fractional coordinates of all 7 atoms:
Zn: 0.2995 0.5989 0.1275  -0.01
Co: 0.9182 0.8365 0.3396  0.54
Zn: 0.0000 0.0000 0.0000  -0.01
Zn: 0.7005 0.4011 0.8725  -0.01
Ho: 0.3785 0.7570 0.6518  -0.08
Ho: 0.6215 0.2430 0.3482  -0.08
Co: 0.0818 0.1635 0.6604  0.54

Summary:
The value obtained for the formation energy is -0.26 eV/atom. Its magnetic moment is 0.85 μB/cell. The total energy is -29.04 eV/cell. The value obtained for the volume is 17.4 Å³ per atom.

---

This record from Alexandria via LeMat-Bulk describes a relaxed Zn2Cd2Ga crystal. The functional is GGA-PBE.

abc: 8.2552 8.2552 2.9194
angles: 90.00 90.00 90.00
Fractional coordinates of all 10 atoms:
Cd: 0.8158 0.3158 0.5000
Zn: 0.8861 0.6139 0.0000
Cd: 0.6842 0.8158 0.5000
Ga: 0.0000 0.0000 0.0000
Zn: 0.6139 0.1139 0.0000
Zn: 0.3861 0.8861 0.0000
Cd: 0.3158 0.1842 0.5000
Zn: 0.1139 0.3861 0.0000
Ga: 0.5000 0.5000 0.0000
Cd: 0.1842 0.6842 0.5000

Summary:
The value obtained for the formation energy is 0.10 eV/atom. Its magnetic moment is 0.00 μB/cell. The total energy is -13.82 eV/cell. The value obtained for the volume is 19.9 Å³ per atom.

---

This record from Alexandria via LeMat-Bulk describes a relaxed CeYP2 crystal. The functional is GGA-PBE.

abc: 3.9809 3.9809 7.3601
angles: 74.31 74.31 60.00
Last column: magnetic moment on the atom in μB.
Fractional coordinates of all 4 atoms:
Y: 0.6696 0.6696 0.9912  0.02
P: 0.2525 0.2525 0.2425  -0.02
Ce: 0.4974 0.4974 0.5078  0.68
P: 0.0805 0.0805 0.7585  -0.02

Summary:
The value obtained for the formation energy is -1.40 eV/atom. Its magnetic moment is 0.87 μB/cell. The total energy is -28.81 eV/cell. The value obtained for the volume is 24.0 Å³ per atom.

---

This record from Alexandria via LeMat-Bulk describes a relaxed SiPb2Au crystal. The functional is GGA-PBE.

abc: 4.0305 3.4507 7.8632
angles: 62.38 90.00 90.00
Fractional coordinates of all 4 atoms:
Au: 0.5000 0.7500 0.7500
Pb: 0.0000 0.0035 0.9982
Pb: 0.0000 0.4965 0.5018
Si: 0.5000 0.2500 0.2500

Summary:
The calculation puts the raw formation energy at 0.28 eV/atom. Its magnetic moment is 0.00 μB/cell. The total energy is -15.00 eV/cell. The value obtained for the volume is 24.2 Å³ per atom.

---

This record from Alexandria via LeMat-Bulk describes a relaxed PmTlTeO4 crystal. The functional is GGA-PBE.

abc: 5.9303 6.0491 8.4744
angles: 90.00 116.41 90.00
Fractional coordinates of all 14 atoms:
Te: 0.8697 0.2500 0.7609
O: 0.5692 0.2500 0.8178
O: 0.0309 0.0072 0.6802
Pm: 0.2219 0.2500 0.5378
O: 0.0309 0.4928 0.6802
O: 0.6084 0.2500 0.5199
Te: 0.1303 0.7500 0.2391
O: 0.9691 0.9928 0.3198
Tl: 0.5606 0.2500 0.1255
Tl: 0.4394 0.7500 0.8745
O: 0.4308 0.7500 0.1822
O: 0.3916 0.7500 0.4801
O: 0.9691 0.5072 0.3198
Pm: 0.7781 0.7500 0.4622

Summary:
The calculation puts the raw formation energy at -1.78 eV/atom. Its magnetic moment is 0.00 μB/cell. The total energy is -85.04 eV/cell. The value obtained for the volume is 19.4 Å³ per atom.

---

This record from Alexandria via LeMat-Bulk describes a relaxed TlSnHg4 crystal. The functional is GGA-PBE.

abc: 6.1504 6.1504 6.1504
angles: 60.00 60.00 60.00
Fractional coordinates of all 6 atoms:
Hg: 0.6249 0.6249 0.6249
Hg: 0.6249 0.1252 0.6249
Tl: 0.0000 0.0000 0.0000
Hg: 0.6249 0.6249 0.1252
Hg: 0.1252 0.6249 0.6249
Sn: 0.2500 0.2500 0.2500

Summary:
The value obtained for the formation energy is 0.10 eV/atom. Its magnetic moment is 0.00 μB/cell. The total energy is -6.98 eV/cell. The value obtained for the volume is 27.4 Å³ per atom.

---

This record from Alexandria via LeMat-Bulk describes a relaxed Cs2SrU3Se8 crystal. The functional is GGA-PBE.

abc: 8.5515 8.5515 10.2053
angles: 65.23 65.23 60.00
Last column: magnetic moment on the atom in μB.
Fractional coordinates of all 14 atoms:
Se: 0.7472 0.7472 0.2087  -0.06
U: 0.4920 0.4920 0.0296  2.12
Se: 0.7472 0.2970 0.2087  -0.06
Cs: 0.1402 0.1402 0.5793  0.00
Se: 0.7133 0.7133 0.8600  -0.07
Se: 0.2695 0.2695 0.1916  -0.07
Cs: 0.4879 0.4879 0.5362  0.00
Se: 0.2217 0.6959 0.8607  -0.06
U: 0.9863 0.4920 0.0296  2.12
Se: 0.2970 0.7472 0.2087  -0.06
Sr: 0.9807 0.9807 0.0578  0.00
Se: 0.2217 0.2217 0.8607  -0.06
U: 0.4920 0.9863 0.0296  2.12
Se: 0.6959 0.2217 0.8607  -0.06

Summary:
The calculation puts the raw formation energy at -1.36 eV/atom. Its magnetic moment is 6.00 μB/cell. The total energy is -84.10 eV/cell. The value obtained for the volume is 40.4 Å³ per atom.

---

This record from Alexandria via LeMat-Bulk describes a relaxed NiMo2AsI crystal. The functional is GGA-PBE.

abc: 4.6400 4.6400 5.6015
angles: 90.00 90.00 90.00
Last column: magnetic moment on the atom in μB.
Fractional coordinates of all 5 atoms:
Ni: 0.5000 0.5000 0.5000  0.33
Mo: 0.0000 0.5000 0.0000  0.41
As: 0.0000 0.0000 0.0000  -0.02
I: 0.0000 0.0000 0.5000  0.06
Mo: 0.5000 0.0000 0.0000  0.41

Summary:
The calculation puts the raw formation energy at 1.84 eV/atom. Its magnetic moment is 1.26 μB/cell. The total energy is -24.47 eV/cell. The value obtained for the volume is 24.1 Å³ per atom.

---

This record from Alexandria via LeMat-Bulk describes a relaxed MgCr2CdSe crystal. The functional is GGA-PBE.

abc: 5.2599 4.8287 5.2599
angles: 90.00 90.00 90.00
Last column: magnetic moment on the atom in μB.
Fractional coordinates of all 5 atoms:
Cd: 0.5000 0.5000 0.5000  -0.05
Se: 0.0000 0.5000 0.0000  0.05
Cr: 0.5000 0.0000 0.0000  4.09
Mg: 0.0000 0.0000 0.0000  0.01
Cr: 0.0000 0.0000 0.5000  4.06

Summary:
The calculation puts the raw formation energy at 0.99 eV/atom. Its magnetic moment is 9.54 μB/cell. The total energy is -20.31 eV/cell. The value obtained for the volume is 26.7 Å³ per atom.

---

This record from Alexandria via LeMat-Bulk describes a relaxed LaVRh crystal. The functional is GGA-PBE.

abc: 4.9130 3.4768 10.4475
angles: 90.00 90.00 134.95
Fractional coordinates of all 6 atoms:
V: 0.6946 0.3891 0.4038
La: 0.1943 0.3886 0.1706
Rh: 0.1946 0.3891 0.5000
Rh: 0.6943 0.3885 0.0000
V: 0.6946 0.3891 0.5962
La: 0.1943 0.3886 0.8294

Summary:
The value obtained for the formation energy is -0.08 eV/atom. Its magnetic moment is 0.00 μB/cell. The total energy is -43.30 eV/cell. The value obtained for the volume is 21.0 Å³ per atom.

---

This record from Alexandria via LeMat-Bulk describes a relaxed Dy5Te4Ir crystal. The functional is GGA-PBE.

abc: 6.1243 7.5276 7.5276
angles: 80.47 66.00 66.00
Fractional coordinates of all 10 atoms:
Dy: 0.7412 0.1669 0.3529
Ir: 0.0009 0.0000 0.0000
Dy: 0.2610 0.8331 0.6471
Te: 0.1910 0.2214 0.3988
Te: 0.4123 0.3988 0.7786
Dy: 0.5008 0.0000 0.0000
Te: 0.5898 0.6012 0.2214
Te: 0.8112 0.7786 0.6012
Dy: 0.0941 0.6471 0.1669
Dy: 0.9081 0.3529 0.8331

Summary:
The calculation puts the raw formation energy at -1.22 eV/atom. Its magnetic moment is 0.00 μB/cell. The total energy is -56.65 eV/cell. The value obtained for the volume is 29.0 Å³ per atom.

---

This record from Alexandria via LeMat-Bulk describes a relaxed Sm2Y8Er crystal. The functional is GGA-PBE.

abc: 5.8997 9.0540 9.2118
angles: 60.56 74.82 57.81
Fractional coordinates of all 11 atoms:
Y: 0.7032 0.5775 0.0000
Sm: 0.0000 0.6936 0.6128
Er: 0.5000 0.0000 0.0000
Y: 0.1674 0.6712 0.2306
Y: 0.1674 0.9018 0.7694
Y: 0.5000 0.2078 0.5845
Sm: 0.0000 0.3064 0.3872
Y: 0.5000 0.7922 0.4155
Y: 0.8326 0.0982 0.2306
Y: 0.2968 0.4225 0.0000
Y: 0.8326 0.3288 0.7694

Summary:
The value obtained for the formation energy is 0.16 eV/atom. Its magnetic moment is 0.00 μB/cell. The total energy is -63.97 eV/cell. The value obtained for the volume is 33.0 Å³ per atom.

---

This record from Alexandria via LeMat-Bulk describes a relaxed Zr2MnP crystal. The functional is GGA-PBE.

abc: 3.4653 4.4260 4.4361
angles: 90.00 90.00 90.00
Last column: magnetic moment on the atom in μB.
Fractional coordinates of all 4 atoms:
Zr: 0.0000 0.5000 0.5000  -0.28
Mn: 0.5000 0.5000 0.0000  2.02
P: 0.5000 0.0000 0.5000  0.03
Zr: 0.0000 0.0000 0.0000  -0.28

Summary:
The value obtained for the formation energy is -0.45 eV/atom. Its magnetic moment is 1.36 μB/cell. The total energy is -33.46 eV/cell. The value obtained for the volume is 17.0 Å³ per atom.

---

This record from Alexandria via LeMat-Bulk describes a relaxed ScTaCr crystal. The functional is GGA-PBE.

abc: 4.7989 4.7989 4.7989
angles: 146.52 120.85 69.71
Fractional coordinates of all 3 atoms:
Sc: 0.3306 0.3306 0.0000
Cr: 0.9937 0.9937 0.0000
Ta: 0.6758 0.6758 0.0000

Summary:
The value obtained for the formation energy is 0.43 eV/atom. Its magnetic moment is 0.00 μB/cell. The total energy is -26.51 eV/cell. The value obtained for the volume is 17.2 Å³ per atom.

---

This record from Alexandria via LeMat-Bulk describes a relaxed Nd2ThPaAs4 crystal. The functional is GGA-PBE.

abc: 4.2204 7.3075 7.3074
angles: 109.45 90.00 90.00
Fractional coordinates of all 8 atoms:
As: 0.0000 0.2452 0.7575
As: 0.5000 0.2398 0.2391
As: 0.0000 0.7548 0.2425
Pa: 0.0000 0.0000 0.0000
Nd: 0.0000 0.5000 0.5000
Th: 0.5000 0.5000 0.0000
Nd: 0.5000 0.0000 0.5000
As: 0.5000 0.7602 0.7609

Summary:
The value obtained for the formation energy is -1.37 eV/atom. Its magnetic moment is 0.00 μB/cell. The total energy is -56.04 eV/cell. The value obtained for the volume is 26.6 Å³ per atom.

---

This record from Alexandria via LeMat-Bulk describes a relaxed AcDyErSn crystal. The functional is GGA-PBE.

abc: 5.5344 5.5344 5.5344
angles: 60.00 60.00 60.00
Fractional coordinates of all 4 atoms:
Ac: 0.5000 0.5000 0.5000
Er: 0.7500 0.7500 0.7500
Dy: 0.2500 0.2500 0.2500
Sn: 0.0000 0.0000 0.0000

Summary:
The value obtained for the formation energy is -0.15 eV/atom. Its magnetic moment is 0.00 μB/cell. The total energy is -17.86 eV/cell. The value obtained for the volume is 30.0 Å³ per atom.

---

This record from Alexandria via LeMat-Bulk describes a relaxed AcCuNiPt3 crystal. The functional is GGA-PBE.

abc: 5.5864 6.4797 7.0093
angles: 117.53 90.00 90.00
Fractional coordinates of all 12 atoms:
Pt: 0.5000 0.2952 0.0000
Ac: 0.7500 0.2867 0.5733
Ni: 0.7500 0.0629 0.1258
Ac: 0.2500 0.7133 0.4267
Cu: 0.7500 0.6465 0.2930
Pt: 0.0000 0.7048 0.0000
Ni: 0.2500 0.9371 0.8742
Cu: 0.2500 0.3535 0.7070
Pt: 0.2500 0.1482 0.2963
Pt: 0.5000 0.7048 0.0000
Pt: 0.0000 0.2952 0.0000
Pt: 0.7500 0.8518 0.7037

Summary:
The value obtained for the formation energy is -0.37 eV/atom. Its magnetic moment is 0.00 μB/cell. The total energy is -68.68 eV/cell. The value obtained for the volume is 18.7 Å³ per atom.

---

This record from Alexandria via LeMat-Bulk describes a relaxed PuInGa crystal. The functional is GGA-PBE.

abc: 5.1264 5.1264 6.3661
angles: 90.00 90.00 120.00
Last column: magnetic moment on the atom in μB.
Fractional coordinates of all 6 atoms:
Pu: 0.6667 0.3333 0.7501  5.56
Ga: 0.0000 0.0000 0.7500  0.01
Pu: 0.6667 0.3333 0.2499  5.56
In: 0.3333 0.6667 0.5000  -0.04
Ga: 0.0000 0.0000 0.2500  0.01
In: 0.3333 0.6667 0.0000  -0.04

Summary:
The value obtained for the formation energy is 0.00 eV/atom. Its magnetic moment is 11.64 μB/cell. The total energy is -40.21 eV/cell. The value obtained for the volume is 24.1 Å³ per atom.

---

This record from Alexandria via LeMat-Bulk describes a relaxed FeCoOs2 crystal. The functional is GGA-PBE.

abc: 5.5363 5.5363 5.9832
angles: 62.44 62.44 90.00
Fractional coordinates of all 8 atoms:
Fe: 0.2500 0.7500 0.5000
Fe: 0.5000 0.5000 0.0000
Os: 0.1276 0.6250 0.2500
Os: 0.6224 0.1250 0.2500
Os: 0.8750 0.8724 0.7500
Co: 0.7500 0.2500 0.5000
Co: 0.0000 0.0000 0.0000
Os: 0.3750 0.3776 0.7500

Summary:
The value obtained for the formation energy is 1.34 eV/atom. Its magnetic moment is 0.00 μB/cell. The total energy is -65.38 eV/cell. The value obtained for the volume is 17.3 Å³ per atom.

---

This record from Alexandria via LeMat-Bulk describes a relaxed Tm6AgSn crystal. The functional is GGA-PBE.

abc: 8.3338 8.6348 5.9997
angles: 44.04 46.01 58.90
Fractional coordinates of all 8 atoms:
Tm: 0.0140 0.4630 0.2741
Tm: 0.7509 0.9832 0.8019
Tm: 0.4631 0.7509 0.7704
Tm: 0.5369 0.2491 0.2296
Tm: 0.9860 0.5370 0.7259
Ag: 0.0000 0.0000 0.0000
Tm: 0.2491 0.0168 0.1981
Sn: 0.5000 0.5000 0.5000

Summary:
The value obtained for the formation energy is -0.17 eV/atom. Its magnetic moment is 0.00 μB/cell. The total energy is -35.03 eV/cell. The value obtained for the volume is 27.0 Å³ per atom.